# 1
## Ni2RhPb (PBE-GGA)

Data for Ni2RhPb after structural relaxation.

Unit cell a=3.827 b=3.827 c=18.187 alpha=90.00 beta=90.00 gamma=90.00
Space group I-42d (No. 122)
Inequivalent atoms, fractional coordinates:
1 Ni 0.201 0.250 0.125
2 Rh 0.000 0.000 0.000
3 Pb 0.000 0.000 0.500

DFT formation energy	0.432	eV/atom
V	266	Å³ per cell
mass density	10.66	Mg/m³



# 2
## NiRh2Pb (PBE-GGA)

Data for NiRh2Pb after structural relaxation.

Unit cell a=3.253 b=3.271 c=5.966 alpha=90.00 beta=90.00 gamma=90.00
Space group Pmmm (No. 47)
Inequivalent atoms, fractional coordinates:
1 Ni 0.000 0.000 0.000
2 Rh 0.500 0.500 0.222
3 Pb 0.000 0.000 0.500

DFT formation energy	0.164	eV/atom
V	63	Å³ per cell
mass density	12.34	Mg/m³



# 3
## NiRh2Pb2 (PBE-GGA)

Data for NiRh2Pb2 after structural relaxation.

Unit cell a=6.749 b=6.749 c=4.121 alpha=90.00 beta=90.00 gamma=90.00
Space group P4/mbm (No. 127)
Inequivalent atoms, fractional coordinates:
1 Ni 0.000 0.000 0.000
2 Rh 0.142 0.358 0.000
3 Pb 0.171 0.671 0.500

DFT formation energy	0.176	eV/atom
V	188	Å³ per cell
mass density	12.01	Mg/m³



# 4
## NiRh4Pb (PBE-GGA)

Data for NiRh4Pb after structural relaxation.

Unit cell a=7.347 b=7.347 c=7.347 alpha=90.00 beta=90.00 gamma=90.00
Space group F-43m (No. 216)
Inequivalent atoms, fractional coordinates:
1 Ni 0.000 0.000 0.000
2 Rh 0.125 0.125 0.375
3 Pb 0.250 0.250 0.750

DFT formation energy	0.398	eV/atom
V	397	Å³ per cell
mass density	11.35	Mg/m³



# 5
## Ni2RhPb (PBE-GGA)

Data for Ni2RhPb after structural relaxation.

Unit cell a=3.899 b=3.899 c=3.896 alpha=90.00 beta=90.00 gamma=90.00
Space group P4/mmm (No. 123)
Inequivalent atoms, fractional coordinates:
1 Ni 0.000 0.500 0.000
2 Rh 0.000 0.000 0.500
3 Pb 0.500 0.500 0.500

DFT formation energy	0.115	eV/atom
V	59	Å³ per cell
mass density	11.98	Mg/m³



# 6
## NiRhPb3 (PBE-GGA)

Data for NiRhPb3 after structural relaxation.

Unit cell a=5.241 b=5.241 c=5.241 alpha=90.00 beta=90.00 gamma=90.00
Space group Pm-3m (No. 221)
Inequivalent atoms, fractional coordinates:
1 Ni 0.000 0.000 0.000
2 Rh 0.500 0.500 0.500
3 Pb 0.000 0.500 0.500

DFT formation energy	0.606	eV/atom
V	144	Å³ per cell
mass density	9.03	Mg/m³



# 7
## Ni2RhPb (PBE-GGA)

Data for Ni2RhPb after structural relaxation.

Unit cell a=6.198 b=6.198 c=6.198 alpha=90.00 beta=90.00 gamma=90.00
Space group F-43m (No. 216)
Inequivalent atoms, fractional coordinates:
1 Ni 0.000 0.000 0.000
2 Ni 0.250 0.250 0.250
3 Rh 0.250 0.250 0.750
4 Pb 0.000 0.000 0.500

DFT formation energy	0.157	eV/atom
V	238	Å³ per cell
mass density	11.93	Mg/m³



# 8
## Ni2Rh2Pb (PBE-GGA)

Data for Ni2Rh2Pb after structural relaxation.

Unit cell a=6.665 b=6.665 c=3.444 alpha=90.00 beta=90.00 gamma=90.00
Space group P4/mbm (No. 127)
Inequivalent atoms, fractional coordinates:
1 Ni 0.128 0.372 0.000
2 Rh 0.154 0.654 0.500
3 Pb 0.000 0.000 0.000

DFT formation energy	0.245	eV/atom
V	153	Å³ per cell
mass density	11.51	Mg/m³



# 9
## NiRhPb3 (PBE-GGA)

Data for NiRhPb3 after structural relaxation.

Unit cell a=5.022 b=5.022 c=5.022 alpha=90.00 beta=90.00 gamma=90.00
Space group Pm-3m (No. 221)
Inequivalent atoms, fractional coordinates:
1 Ni 0.000 0.000 0.000
2 Rh 0.500 0.500 0.500
3 Pb 0.000 0.000 0.500

DFT formation energy	0.534	eV/atom
V	127	Å³ per cell
mass density	10.27	Mg/m³



# 10
## NiRh2Pb (PBE-GGA)

Data for NiRh2Pb after structural relaxation.

Unit cell a=4.070 b=4.070 c=3.779 alpha=90.00 beta=90.00 gamma=90.00
Space group P4/mmm (No. 123)
Inequivalent atoms, fractional coordinates:
1 Ni 0.000 0.000 0.000
2 Rh 0.000 0.500 0.500
3 Pb 0.500 0.500 0.000

DFT formation energy	0.098	eV/atom
V	63	Å³ per cell
mass density	12.51	Mg/m³



# 11
## Ni2RhPb (PBE-GGA)

Data for Ni2RhPb after structural relaxation.

Unit cell a=8.603 b=3.190 c=4.608 alpha=90.00 beta=103.70 gamma=90.00
Space group C2/m (No. 12)
Inequivalent atoms, fractional coordinates:
1 Ni 0.244 0.000 0.211
2 Rh 0.000 0.500 0.000
3 Pb 0.000 0.000 0.500

DFT formation energy	0.235	eV/atom
V	123	Å³ per cell
mass density	11.56	Mg/m³



# 12
## NiRh2Pb (PBE-GGA)

Data for NiRh2Pb after structural relaxation.

Unit cell a=3.331 b=3.331 c=5.820 alpha=90.00 beta=90.00 gamma=90.00
Space group P4mm (No. 99)
Inequivalent atoms, fractional coordinates:
1 Ni 0.000 0.000 0.000
2 Rh 0.000 0.000 0.564
3 Rh 0.500 0.500 0.820
4 Pb 0.500 0.500 0.290

DFT formation energy	0.224	eV/atom
V	65	Å³ per cell
mass density	12.13	Mg/m³



# 13
## Ni2RhPb (PBE-GGA)

Data for Ni2RhPb after structural relaxation.

Unit cell a=3.0523 b=3.0523 c=23.9436 alpha=90.00 beta=90.00 gamma=120.00
Space group R3m (No. 160, hexagonal axes)
Inequivalent atoms, fractional coordinates:
1 Ni 0.0000 0.0000 0.0000
2 Ni 0.0000 0.0000 0.2638
3 Rh 0.0000 0.0000 0.5192
4 Pb 0.0000 0.0000 0.7575

DFT formation energy	0.483	eV/atom
V	193	Å³ per cell
mass density	11.02	Mg/m³



# 14
## NiRh2Pb (PBE-GGA)

Data for NiRh2Pb after structural relaxation.

Unit cell a=5.503 b=9.275 c=2.934 alpha=90.00 beta=120.43 gamma=90.00
Space group C2/m (No. 12)
Inequivalent atoms, fractional coordinates:
1 Ni 0.000 0.000 0.000
2 Rh 0.250 0.250 0.500
3 Pb 0.000 0.500 0.000

DFT formation energy	0.296	eV/atom
V	129	Å³ per cell
mass density	12.13	Mg/m³



# 15
## NiRh2Pb (PBE-GGA)

Data for NiRh2Pb after structural relaxation.

Unit cell a=8.942 b=3.145 c=4.685 alpha=90.00 beta=103.24 gamma=90.00
Space group Cm (No. 8)
Inequivalent atoms, fractional coordinates:
1 Ni 0.000 0.000 0.000
2 Rh 0.242 0.500 0.201
3 Rh 0.493 0.000 0.438
4 Pb 0.249 0.000 0.718

DFT formation energy	0.185	eV/atom
V	128	Å³ per cell
mass density	12.21	Mg/m³



# 16
## NiRh2Pb6 (PBE-GGA)

Data for NiRh2Pb6 after structural relaxation.

Unit cell a=10.8519 b=10.8519 c=6.6388 alpha=90.00 beta=90.00 gamma=120.00
Space group P-3m1 (No. 164)
Inequivalent atoms, fractional coordinates:
1 Ni 0.0000 0.0000 0.0000
2 Ni 0.3333 0.6667 0.5169
3 Rh 0.0000 0.2960 0.0000
4 Pb 0.1073 0.2146 0.6946
5 Pb 0.1132 0.5566 0.7903
6 Pb 0.2222 0.4445 0.2715

DFT formation energy	0.013	eV/atom
V	677	Å³ per cell
mass density	11.09	Mg/m³



# 17
## Ni2RhPb (PBE-GGA)

Data for Ni2RhPb after structural relaxation.

Unit cell a=3.967 b=3.967 c=7.516 alpha=90.00 beta=90.00 gamma=90.00
Space group I-4m2 (No. 119)
Inequivalent atoms, fractional coordinates:
1 Ni 0.000 0.000 0.000
2 Ni 0.000 0.500 0.250
3 Rh 0.000 0.000 0.500
4 Pb 0.000 0.500 0.750

DFT formation energy	0.121	eV/atom
V	118	Å³ per cell
mass density	12.00	Mg/m³



# 18
## Ni3RhPb (PBE-GGA)

Data for Ni3RhPb after structural relaxation.

Unit cell a=4.591 b=4.591 c=4.591 alpha=90.00 beta=90.00 gamma=90.00
Space group Pm-3m (No. 221)
Inequivalent atoms, fractional coordinates:
1 Ni 0.000 0.000 0.500
2 Rh 0.000 0.000 0.000
3 Pb 0.500 0.500 0.500

DFT formation energy	0.912	eV/atom
V	97	Å³ per cell
mass density	8.34	Mg/m³



# 19
## Ni2Rh2Pb (PBE-GGA)

Data for Ni2Rh2Pb after structural relaxation.

Unit cell a=7.194 b=7.194 c=2.981 alpha=90.00 beta=90.00 gamma=90.00
Space group P4/mbm (No. 127)
Inequivalent atoms, fractional coordinates:
1 Ni 0.162 0.338 0.000
2 Rh 0.132 0.632 0.500
3 Pb 0.000 0.000 0.500

DFT formation energy	0.251	eV/atom
V	154	Å³ per cell
mass density	11.42	Mg/m³



# 20
## Ni2RhPb (PBE-GGA)

Data for Ni2RhPb after structural relaxation.

Unit cell a=5.709 b=5.747 c=7.181 alpha=90.00 beta=90.00 gamma=90.00
Space group Fmmm (No. 69)
Inequivalent atoms, fractional coordinates:
1 Ni 0.250 0.250 0.250
2 Rh 0.000 0.000 0.000
3 Pb 0.000 0.000 0.500

DFT formation energy	0.160	eV/atom
V	236	Å³ per cell
mass density	12.05	Mg/m³



# 21
## NiRh2Pb (PBE-GGA)

Data for NiRh2Pb after structural relaxation.

Unit cell a=6.319 b=6.319 c=6.319 alpha=90.00 beta=90.00 gamma=90.00
Space group F-43m (No. 216)
Inequivalent atoms, fractional coordinates:
1 Ni 0.000 0.000 0.000
2 Rh 0.000 0.000 0.500
3 Rh 0.250 0.250 0.750
4 Pb 0.250 0.250 0.250

DFT formation energy	0.195	eV/atom
V	252	Å³ per cell
mass density	12.42	Mg/m³



# 22
## NiRhPb4 (PBE-GGA)

Data for NiRhPb4 after structural relaxation.

Unit cell a=8.742 b=8.742 c=8.742 alpha=90.00 beta=90.00 gamma=90.00
Space group F-43m (No. 216)
Inequivalent atoms, fractional coordinates:
1 Ni 0.000 0.000 0.000
2 Rh 0.250 0.250 0.250
3 Pb 0.125 0.125 0.625

DFT formation energy	0.954	eV/atom
V	668	Å³ per cell
mass density	9.85	Mg/m³



# 23
## NiRh2Pb (PBE-GGA)

Data for NiRh2Pb after structural relaxation.

Unit cell a=2.965 b=4.486 c=4.861 alpha=90.00 beta=93.91 gamma=90.00
Space group P2/m (No. 10)
Inequivalent atoms, fractional coordinates:
1 Ni 0.000 0.000 0.000
2 Rh 0.217 0.500 0.772
3 Pb 0.500 0.000 0.500

DFT formation energy	0.248	eV/atom
V	65	Å³ per cell
mass density	12.14	Mg/m³



# 24
## NiRh2Pb (PBE-GGA)

Data for NiRh2Pb after structural relaxation.

Unit cell a=3.020 b=4.505 c=4.681 alpha=90.00 beta=90.00 gamma=90.00
Space group Pmm2 (No. 25)
Inequivalent atoms, fractional coordinates:
1 Ni 0.000 0.000 0.000
2 Rh 0.000 0.500 0.319
3 Rh 0.500 0.000 0.458
4 Pb 0.500 0.500 0.825

DFT formation energy	0.201	eV/atom
V	64	Å³ per cell
mass density	12.30	Mg/m³



# 25
## NiRh2Pb (PBE-GGA)

Data for NiRh2Pb after structural relaxation.

Unit cell a=3.0757 b=3.0757 c=24.3753 alpha=90.00 beta=90.00 gamma=120.00
Space group R-3m (No. 166, hexagonal axes)
Inequivalent atoms, fractional coordinates:
1 Ni 0.0000 0.0000 0.0000
2 Rh 0.0000 0.0000 0.2597
3 Pb 0.0000 0.0000 0.5000

DFT formation energy	0.397	eV/atom
V	200	Å³ per cell
mass density	11.77	Mg/m³



# 26
## NiRh2Pb (PBE-GGA)

Data for NiRh2Pb after structural relaxation.

Unit cell a=2.9991 b=2.9991 c=25.6525 alpha=90.00 beta=90.00 gamma=120.00
Space group R3m (No. 160, hexagonal axes)
Inequivalent atoms, fractional coordinates:
1 Ni 0.0000 0.0000 0.0000
2 Rh 0.0000 0.0000 0.4873
3 Rh 0.0000 0.0000 0.7404
4 Pb 0.0000 0.0000 0.2457

DFT formation energy	0.456	eV/atom
V	200	Å³ per cell
mass density	11.76	Mg/m³



# 27
## Ni2Rh2Pb (PBE-GGA)

Data for Ni2Rh2Pb after structural relaxation.

Unit cell a=3.507 b=3.507 c=12.967 alpha=90.00 beta=90.00 gamma=90.00
Space group I4/mmm (No. 139)
Inequivalent atoms, fractional coordinates:
1 Ni 0.000 0.500 0.250
2 Rh 0.000 0.000 0.110
3 Pb 0.000 0.000 0.500

DFT formation energy	0.254	eV/atom
V	159	Å³ per cell
mass density	11.05	Mg/m³